[1]
Entry from the Alexandria database: a relaxed BiC3Br crystal (PBE-GGA).

abc: 4.1896 4.1896 4.1896
angles: 90.00 90.00 90.00
Atoms (fractional coordinates):
C (0.0000, 0.5000, 0.0000)
C (0.0000, 0.0000, 0.5000)
C (0.5000, 0.0000, 0.0000)
Bi (0.5000, 0.5000, 0.5000)
Br (0.0000, 0.0000, 0.0000)

Summary:
Its formation energy without anion corrections is 3216 meV/atom. The space-group type is No. 221. The distance to the lowest polymorph of the same formula comes out at 0 meV/atom.



[2]
Entry from the Alexandria database: a relaxed Ba2CoIr crystal (PBE-GGA).

abc: 3.7070 3.8711 8.9451
angles: 64.34 90.00 90.00
Each line ends with the local moment (μB).
Atoms (fractional coordinates):
Ba (0.0000, 0.0183, 0.9817)  -0.04
Ba (0.0000, 0.4817, 0.5183)  -0.04
Co (0.5000, 0.2500, 0.2500)  1.85
Ir (0.5000, 0.7500, 0.7500)  0.21

Summary:
The space-group type is No. 47. The distance to the lowest polymorph of the same formula comes out at 590 meV/atom. The energy of formation is 0.541 eV/atom.



[3]
Entry from the Alexandria database: a relaxed Er7MgAg4 crystal (PBE-GGA).

abc: 5.5433 8.6567 7.6566
angles: 69.12 68.78 71.33
Atoms (fractional coordinates):
Er (0.8119, 0.8775, 0.4987)
Er (0.1881, 0.1225, 0.5013)
Er (0.0776, 0.5839, 0.2608)
Er (0.9224, 0.4161, 0.7392)
Er (0.2691, 0.6911, 0.7707)
Er (0.5000, 0.0000, 0.0000)
Er (0.7309, 0.3089, 0.2293)
Mg (0.0000, 0.0000, 0.0000)
Ag (0.5357, 0.2954, 0.6332)
Ag (0.4643, 0.7046, 0.3668)
Ag (0.6851, 0.6585, 0.9713)
Ag (0.3149, 0.3415, 0.0287)

Summary:
The space-group type is No. 12. The energy of formation is 0.003 eV/atom.



[4]
Entry from the Alexandria database: a relaxed ZnRe2As crystal (PBE-GGA).

abc: 4.3327 4.3327 4.3327
angles: 60.00 60.00 60.00
Atoms (fractional coordinates):
Re (0.2500, 0.2500, 0.2500)
Re (0.7500, 0.7500, 0.7500)
As (0.5000, 0.5000, 0.5000)
Zn (0.0000, 0.0000, 0.0000)

Summary:
The space-group type is No. 225. The distance to the lowest polymorph of the same formula comes out at 320 meV/atom. The energy of formation is 0.464 eV/atom.